(1)
A plane-wave DFT calculation with GGA-PBE was carried out for a relaxed ZrAl2TlRe crystal.

Lattice parameters (Å, degrees): 5.379 5.379 4.914 90.00 90.00 90.00
Space group P4/mmm (No. 123)
Symmetry-distinct sites (fractional):
Zr 0.000 0.000 0.000
Al 0.000 0.500 0.000
Tl 0.500 0.500 0.500
Re 0.000 0.000 0.500

Results
**ΔE_f**: 30.038 kcal/mol of atoms
**Volume**: 142.2 Å³/cell
**Raw total energy**: -24.33 eV for the cell shown
**D(E_F)**: 4.5 states/eV/f.u.

(2)
A plane-wave DFT calculation with GGA-PBE was carried out for a relaxed Tm2AlRe crystal.

Lattice parameters (Å, degrees): 3.2808 3.2808 31.0826 90.00 90.00 120.00
Space group R-3m (No. 166, hexagonal axes)
Symmetry-distinct sites (fractional):
Tm 0.0000 0.0000 0.0997
Al 0.0000 0.0000 0.0000
Re 0.0000 0.0000 0.5000

Results
**ΔE_f**: 10.147 kcal/mol of atoms
**Volume**: 289.7 Å³/cell
**Raw total energy**: -70.12 eV for the cell shown
**D(E_F)**: 3.8 states/eV/f.u.

(3)
A plane-wave DFT calculation with GGA-PBE was carried out for a relaxed TmAl10Re2 crystal.

Lattice parameters (Å, degrees): 9.178 10.338 9.162 90.00 90.00 90.00
Space group Cmcm (No. 63)
Symmetry-distinct sites (fractional):
Tm 0.000 0.131 0.250
Al 0.000 0.148 0.596
Al 0.000 0.375 0.036
Al 0.160 0.370 0.750
Al 0.223 0.367 0.250
Al 0.226 0.000 0.000
Re 0.250 0.250 0.000

Results
**ΔE_f**: -7.740 kcal/mol of atoms
**E above lowest polymorph**: 13 meV/atom
**Volume**: 869.3 Å³/cell
**Raw total energy**: -284.63 eV for the cell shown
**D(E_F)**: 5.2 states/eV/f.u.

(4)
A plane-wave DFT calculation with GGA-PBE was carried out for a relaxed Tm2AlRe3 crystal.

Lattice parameters (Å, degrees): 5.3325 5.3325 13.4049 90.00 90.00 120.00
Space group R-3m (No. 166, hexagonal axes)
Symmetry-distinct sites (fractional):
Tm 0.0000 0.0000 0.1215
Al 0.0000 0.0000 0.5000
Re 0.0000 0.5000 0.0000

Results
**ΔE_f**: -8.221 kcal/mol of atoms
**Volume**: 330.2 Å³/cell
**Raw total energy**: -156.51 eV for the cell shown
**D(E_F)**: 3.8 states/eV/f.u.

(5)
A plane-wave DFT calculation with GGA-PBE was carried out for a relaxed TmAl6Re crystal.

Lattice parameters (Å, degrees): 5.7867 5.7867 18.4014 90.00 90.00 120.00
Space group R-3m (No. 166, hexagonal axes)
Symmetry-distinct sites (fractional):
Tm 0.0000 0.0000 0.0000
Al 0.0154 0.5077 0.9264
Re 0.0000 0.0000 0.5000

Results
**ΔE_f**: 4.934 kcal/mol of atoms
**Volume**: 533.6 Å³/cell
**Raw total energy**: -112.99 eV for the cell shown
**D(E_F)**: 4.5 states/eV/f.u.

(6)
A plane-wave DFT calculation with GGA-PBE was carried out for a relaxed TmAl10Re2 crystal.

Lattice parameters (Å, degrees): 9.304 10.318 26.915 90.00 90.00 90.00
Space group Cmcm (No. 63)
Symmetry-distinct sites (fractional):
Tm 0.000 0.118 0.250
Tm 0.000 0.375 0.085
Al 0.000 0.097 0.134
Al 0.000 0.122 0.022
Al 0.000 0.130 0.678
Al 0.000 0.335 0.534
Al 0.000 0.375 0.645
Al 0.000 0.408 0.200
Al 0.149 0.387 0.750
Al 0.151 0.122 0.581
Al 0.204 0.500 0.000
Al 0.209 0.111 0.750
Al 0.220 0.248 0.171
Al 0.248 0.129 0.083
Re 0.248 0.003 0.663
Re 0.250 0.250 0.000

Results
**ΔE_f**: -8.047 kcal/mol of atoms
**E above lowest polymorph**: 0 meV/atom
**Volume**: 2583.9 Å³/cell
**Raw total energy**: -855.96 eV for the cell shown
**D(E_F)**: 4.1 states/eV/f.u.